(1)
# Ti4ZnPd5 (PBE-GGA, optimized geometry)
# **Excess energy over the best structure of this formula in the dataset**: 1.86 eV per formula unit
# **Total magnetic moment**: 0.000 μB/atom
# **SG**: I4 (79)
# **Calculated volume**: 164.9 Å³ per cell
# **Crystal system**: tetragonal
# **E_form**: -0.357 eV per atom
data_Ti4ZnPd5
_cell_length_a 6.3196
_cell_length_b 6.3196
_cell_length_c 6.3196
_cell_angle_alpha 98.42
_cell_angle_beta 98.42
_cell_angle_gamma 134.99
_space_group_name_H-M_alt 'P 1'
_space_group_IT_number 1
loop_
_space_group_symop_operation_xyz
'x,y,z'
loop_
_atom_site_label
_atom_site_type_symbol
_atom_site_fract_x
_atom_site_fract_y
_atom_site_fract_z
_atom_site_occupancy
Ti1 Ti 0.0266 0.3223 0.3489 1
Ti2 Ti 0.3223 0.9734 0.2957 1
Ti3 Ti 0.6777 0.0266 0.7043 1
Ti4 Ti 0.9734 0.6777 0.6511 1
Zn1 Zn 0.7145 0.7145 0.0000 1
Pd1 Pd 0.1951 0.1951 0.0000 1
Pd2 Pd 0.2688 0.6555 0.9344 1
Pd3 Pd 0.3344 0.2688 0.6133 1
Pd4 Pd 0.6555 0.7211 0.3867 1
Pd5 Pd 0.7211 0.3344 0.0656 1


(2)
# Al2CrRh (PBE-GGA, optimized geometry)
# **Excess energy over the best structure of this formula in the dataset**: 1.17 eV per formula unit
# **Total magnetic moment**: 0.131 μB/atom
# **SG**: C2/m (12)
# **Calculated volume**: 55.0 Å³ per cell
# **Crystal system**: monoclinic
# **E_form**: -0.270 eV per atom
data_Al2CrRh
_cell_length_a 4.8443
_cell_length_b 4.8443
_cell_length_c 2.6971
_cell_angle_alpha 101.39
_cell_angle_beta 101.39
_cell_angle_gamma 111.84
_space_group_name_H-M_alt 'P 1'
_space_group_IT_number 1
loop_
_space_group_symop_operation_xyz
'x,y,z'
loop_
_atom_site_label
_atom_site_type_symbol
_atom_site_fract_x
_atom_site_fract_y
_atom_site_fract_z
_atom_site_occupancy
Al1 Al 0.0000 0.5000 0.0000 1
Al2 Al 0.5000 0.0000 0.0000 1
Cr1 Cr 0.0000 0.0000 0.5000 1
Rh1 Rh 0.5000 0.5000 0.5000 1


(3)
# Ce2P2Ru (PBE-GGA, optimized geometry)
# **Total magnetic moment**: 0.360 μB/atom
# **SG**: Fddd (70)
# **Calculated volume**: 219.8 Å³ per cell
# **Crystal system**: orthorhombic
# **E_form**: -0.709 eV per atom
data_Ce2P2Ru
_cell_length_a 8.7517
_cell_length_b 7.3945
_cell_length_c 6.2526
_cell_angle_alpha 79.29
_cell_angle_beta 56.12
_cell_angle_gamma 44.59
_space_group_name_H-M_alt 'P 1'
_space_group_IT_number 1
loop_
_space_group_symop_operation_xyz
'x,y,z'
loop_
_atom_site_label
_atom_site_type_symbol
_atom_site_fract_x
_atom_site_fract_y
_atom_site_fract_z
_atom_site_occupancy
Ce1 Ce 0.0564 0.6936 0.0564 1
Ce2 Ce 0.3064 0.9436 0.3064 1
Ce3 Ce 0.6936 0.0564 0.6936 1
Ce4 Ce 0.9436 0.3064 0.9436 1
P1 P 0.0000 0.5000 0.5000 1
P2 P 0.5000 0.0000 0.5000 1
P3 P 0.5000 0.5000 0.0000 1
P4 P 0.5000 0.5000 0.5000 1
Ru1 Ru 0.3750 0.3750 0.3750 1
Ru2 Ru 0.6250 0.6250 0.6250 1


(4)
# Si2PtW (PBE-GGA, optimized geometry)
# **Excess energy over the best structure of this formula in the dataset**: 0.37 eV per formula unit
# **Total magnetic moment**: 0.000 μB/atom
# **SG**: Pmm2 (25)
# **Calculated volume**: 58.2 Å³ per cell
# **Formation energy from raw total energies**: -0.178 eV per atom
# **Crystal system**: orthorhombic
data_Si2PtW
_cell_length_a 2.7579
_cell_length_b 4.0106
_cell_length_c 5.2654
_cell_angle_alpha 90.00
_cell_angle_beta 90.00
_cell_angle_gamma 90.00
_space_group_name_H-M_alt 'P 1'
_space_group_IT_number 1
loop_
_space_group_symop_operation_xyz
'x,y,z'
loop_
_atom_site_label
_atom_site_type_symbol
_atom_site_fract_x
_atom_site_fract_y
_atom_site_fract_z
_atom_site_occupancy
Si1 Si 0.0000 0.0000 0.0000 1
Si2 Si 0.5000 0.5000 0.3132 1
Pt1 Pt 0.5000 0.5000 0.8230 1
W1 W 0.0000 0.0000 0.4825 1


(5)
# Hf5TiGe5 (PBE-GGA, optimized geometry)
# **Total magnetic moment**: 0.000 μB/atom
# **SG**: C2/m (12)
# **Calculated volume**: 226.4 Å³ per cell
# **Crystal system**: monoclinic
# **E_form**: -0.383 eV per atom
data_Hf5TiGe5
_cell_length_a 6.5028
_cell_length_b 6.5028
_cell_length_c 7.5806
_cell_angle_alpha 107.56
_cell_angle_beta 107.56
_cell_angle_gamma 48.44
_space_group_name_H-M_alt 'P 1'
_space_group_IT_number 1
loop_
_space_group_symop_operation_xyz
'x,y,z'
loop_
_atom_site_label
_atom_site_type_symbol
_atom_site_fract_x
_atom_site_fract_y
_atom_site_fract_z
_atom_site_occupancy
Hf1 Hf 0.0000 0.0000 0.0000 1
Hf2 Hf 0.3275 0.3275 0.1665 1
Hf3 Hf 0.3394 0.3394 0.6750 1
Hf4 Hf 0.6606 0.6606 0.3250 1
Hf5 Hf 0.6725 0.6725 0.8335 1
Ti1 Ti 0.0000 0.0000 0.5000 1
Ge1 Ge 0.1635 0.1635 0.8262 1
Ge2 Ge 0.1649 0.1649 0.3410 1
Ge3 Ge 0.5000 0.5000 0.5000 1
Ge4 Ge 0.8351 0.8351 0.6590 1
Ge5 Ge 0.8365 0.8365 0.1738 1


(6)
# Li4Ag5Pb (PBE-GGA, optimized geometry)
# **Excess energy over the best structure of this formula in the dataset**: 0.00 eV per formula unit
# **Total magnetic moment**: 0.000 μB/atom
# **SG**: C2/m (12)
# **Calculated volume**: 202.7 Å³ per cell
# **Crystal system**: monoclinic
# **E_form**: -0.070 eV per atom
data_Li4Ag5Pb
_cell_length_a 6.6895
_cell_length_b 6.6895
_cell_length_c 9.2751
_cell_angle_alpha 128.64
_cell_angle_beta 128.64
_cell_angle_gamma 40.93
_space_group_name_H-M_alt 'P 1'
_space_group_IT_number 1
loop_
_space_group_symop_operation_xyz
'x,y,z'
loop_
_atom_site_label
_atom_site_type_symbol
_atom_site_fract_x
_atom_site_fract_y
_atom_site_fract_z
_atom_site_occupancy
Li1 Li 0.0981 0.0981 0.3392 1
Li2 Li 0.3705 0.3705 0.1195 1
Li3 Li 0.6295 0.6295 0.8805 1
Li4 Li 0.9019 0.9019 0.6608 1
Ag1 Ag 0.1476 0.1476 0.0784 1
Ag2 Ag 0.1732 0.1732 0.7366 1
Ag3 Ag 0.5000 0.5000 0.0000 1
Ag4 Ag 0.8268 0.8268 0.2634 1
Ag5 Ag 0.8524 0.8524 0.9216 1
Pb1 Pb 0.5000 0.5000 0.5000 1


(7)
# Ac2NdScO6 (PBE-GGA, optimized geometry)
# **Total magnetic moment**: 0.000 μB/atom
# **SG**: P2_1/c (14)
# **Calculated volume**: 318.8 Å³ per cell
# **Formation energy from raw total energies**: -3.368 eV per atom
# **Crystal system**: monoclinic
data_Ac2NdScO6
_cell_length_a 5.9939
_cell_length_b 6.1725
_cell_length_c 10.4511
_cell_angle_alpha 90.00
_cell_angle_beta 124.46
_cell_angle_gamma 90.00
_space_group_name_H-M_alt 'P 1'
_space_group_IT_number 1
loop_
_space_group_symop_operation_xyz
'x,y,z'
loop_
_atom_site_label
_atom_site_type_symbol
_atom_site_fract_x
_atom_site_fract_y
_atom_site_fract_z
_atom_site_occupancy
Ac1 Ac 0.2359 0.0479 0.2508 1
Ac2 Ac 0.2359 0.4521 0.7508 1
Ac3 Ac 0.7641 0.5479 0.2492 1
Ac4 Ac 0.7641 0.9521 0.7492 1
Nd1 Nd 0.5000 0.0000 0.0000 1
Nd2 Nd 0.5000 0.5000 0.5000 1
Sc1 Sc 0.0000 0.0000 0.5000 1
Sc2 Sc 0.0000 0.5000 0.0000 1
O1 O 0.1226 0.2126 0.9356 1
O2 O 0.1226 0.2874 0.4356 1
O3 O 0.2275 0.6894 0.9413 1
O4 O 0.2275 0.8106 0.4413 1
O5 O 0.3501 0.0481 0.7364 1
O6 O 0.3501 0.4519 0.2364 1
O7 O 0.6499 0.5481 0.7636 1
O8 O 0.6499 0.9519 0.2636 1
O9 O 0.7725 0.1894 0.5587 1
O10 O 0.7725 0.3106 0.0587 1
O11 O 0.8774 0.7126 0.5644 1
O12 O 0.8774 0.7874 0.0644 1


(8)
# K2TiTcO6 (PBE-GGA, optimized geometry)
# **Total magnetic moment**: 0.000 μB/atom
# **SG**: Fm-3m (225)
# **Calculated volume**: 121.7 Å³ per cell
# **Formation energy from raw total energies**: -2.012 eV per atom
# **Crystal system**: cubic
data_K2TiTcO6
_cell_length_a 5.5630
_cell_length_b 5.5630
_cell_length_c 5.5630
_cell_angle_alpha 60.00
_cell_angle_beta 60.00
_cell_angle_gamma 60.00
_space_group_name_H-M_alt 'P 1'
_space_group_IT_number 1
loop_
_space_group_symop_operation_xyz
'x,y,z'
loop_
_atom_site_label
_atom_site_type_symbol
_atom_site_fract_x
_atom_site_fract_y
_atom_site_fract_z
_atom_site_occupancy
K1 K 0.2500 0.2500 0.2500 1
K2 K 0.7500 0.7500 0.7500 1
Ti1 Ti 0.0000 0.0000 0.0000 1
Tc1 Tc 0.5000 0.5000 0.5000 1
O1 O 0.2536 0.2536 0.7464 1
O2 O 0.2536 0.7464 0.2536 1
O3 O 0.2536 0.7464 0.7464 1
O4 O 0.7464 0.2536 0.2536 1
O5 O 0.7464 0.2536 0.7464 1
O6 O 0.7464 0.7464 0.2536 1